This record from Alexandria via LeMat-Bulk describes an optimized crystal structure of CdHgS2. The functional is PBEsol.

It has space group Fm-3m (No. 225), with a = 6.7353 Å, b = 6.7353 Å, c = 6.7353 Å, α = 90.00°, β = 90.00° and γ = 90.00°. The asymmetric unit holds Cd at (0.0000, 0.0000, 0.0000), Hg at (0.0000, 0.0000, 0.5000) and S at (0.2500, 0.2500, 0.2500).

For the energy above the most stable polymorph in this dataset, the calculation gives 588 meV per atom. The calculation puts the energy relative to the elements, uncorrected at 0.81 eV per formula unit.

This record from Alexandria via LeMat-Bulk describes an optimized crystal structure of KIF2. The functional is PBEsol.

It has space group R-3m (No. 166, hexagonal axes), with a = 3.4899 Å, b = 3.4899 Å, c = 25.7906 Å, α = 90.00°, β = 90.00° and γ = 120.00°. The asymmetric unit holds K at (0.0000, 0.0000, 0.0000), I at (0.0000, 0.0000, 0.5000) and F at (0.0000, 0.0000, 0.0885).

For the energy above the most stable polymorph in this dataset, the calculation gives 866 meV per atom. The calculation puts the energy relative to the elements, uncorrected at -4.03 eV per formula unit.

This record from Alexandria via LeMat-Bulk describes an optimized crystal structure of Zr2ScRe. The functional is PBEsol.

It has space group Imm2 (No. 44), with a = 3.3443 Å, b = 4.7610 Å, c = 9.9427 Å, α = 90.00°, β = 90.00° and γ = 90.00°. The asymmetric unit holds Zr at (0.0000, 0.0000, 0.0000), Zr at (0.0000, 0.5000, 0.2155), Sc at (0.0000, 0.5000, 0.7849) and Re at (0.0000, 0.0000, 0.5056).

Its energy of formation from the pure elements is -0.123 eV per atom.

This record from Alexandria via LeMat-Bulk describes an optimized crystal structure of KInPb2. The functional is PBEsol.

It has space group R-3m (No. 166, hexagonal axes), with a = 3.6481 Å, b = 3.6481 Å, c = 32.1809 Å, α = 90.00°, β = 90.00° and γ = 120.00°. The asymmetric unit holds K at (0.0000, 0.0000, 0.0000), In at (0.0000, 0.0000, 0.5000) and Pb at (0.0000, 0.0000, 0.2405).

Its energy of formation from the pure elements is -0.012 eV per atom.

This record from Alexandria via LeMat-Bulk describes an optimized crystal structure of Sr3MgH. The functional is PBEsol.

It has space group Pm-3m (No. 221), with a = 5.4426 Å, b = 5.4426 Å, c = 5.4426 Å, α = 90.00°, β = 90.00° and γ = 90.00°. The asymmetric unit holds Sr at (0.0000, 0.0000, 0.5000), Mg at (0.5000, 0.5000, 0.5000) and H at (0.0000, 0.0000, 0.0000).

Its total energy is -2.246 eV per atom.

This record from Alexandria via LeMat-Bulk describes an optimized crystal structure of CrRhSe2. The functional is PBEsol.

It has space group Fm-3m (No. 225), with a = 6.2266 Å, b = 6.2266 Å, c = 6.2266 Å, α = 90.00°, β = 90.00° and γ = 90.00°. The asymmetric unit holds Cr at (0.0000, 0.0000, 0.0000), Rh at (0.0000, 0.0000, 0.5000) and Se at (0.2500, 0.2500, 0.2500).

For the energy above the most stable polymorph in this dataset, the calculation gives 126 meV per atom. The calculation puts the energy relative to the elements, uncorrected at 0.11 eV per formula unit.

This record from Alexandria via LeMat-Bulk describes an optimized crystal structure of Y2Ga9Rh3. The functional is PBEsol.

It has space group Cmcm (No. 63), with a = 12.8619 Å, b = 7.4720 Å, c = 9.3885 Å, α = 90.00°, β = 90.00° and γ = 90.00°. The asymmetric unit holds Y at (0.1639, 0.1663, 0.2500), Ga at (0.0000, 0.1279, 0.7500), Ga at (0.0000, 0.3333, 0.0646), Ga at (0.1044, 0.4432, 0.7500), Ga at (0.1668, 0.1681, 0.5792), Rh at (0.0000, 0.0000, 0.0000) and Rh at (0.1716, 0.5000, 0.0000).

Its energy of formation from the pure elements is -0.766 eV per atom.

This record from Alexandria via LeMat-Bulk describes an optimized crystal structure of TaFe2Te. The functional is PBEsol.

It has space group Imm2 (No. 44), with a = 3.3316 Å, b = 4.0664 Å, c = 8.5841 Å, α = 90.00°, β = 90.00° and γ = 90.00°. The asymmetric unit holds Ta at (0.0000, 0.0000, 0.0000), Fe at (0.0000, 0.0000, 0.4984), Fe at (0.0000, 0.5000, 0.2401) and Te at (0.0000, 0.5000, 0.7596).

The calculation puts the energy relative to the elements, uncorrected at 0.90 eV per formula unit.

This record from Alexandria via LeMat-Bulk describes an optimized crystal structure of AlFe3. The functional is PBEsol.

It has space group R-3m (No. 166, hexagonal axes), with a = 7.9848 Å, b = 7.9848 Å, c = 2.4889 Å, α = 90.00°, β = 90.00° and γ = 120.00°. The asymmetric unit holds Al at (0.0000, 0.0000, 0.0000) and Fe at (0.0000, 0.5000, 0.0000).

Its energy of formation from the pure elements is -0.097 eV per atom.

This record from Alexandria via LeMat-Bulk describes an optimized crystal structure of LaReCl2. The functional is PBEsol.

It has space group Pm (No. 6), with a = 5.0448 Å, b = 3.3610 Å, c = 5.1051 Å, α = 90.00°, β = 105.92° and γ = 90.00°. The asymmetric unit holds La at (0.0000, 0.0000, 0.0000), Re at (0.5289, 0.5000, 0.0148), Cl at (0.1927, 0.5000, 0.5944) and Cl at (0.6272, 0.0000, 0.3545).

For the energy above the most stable polymorph in this dataset, the calculation gives 0 meV per atom. The calculation puts the energy relative to the elements, uncorrected at -1.86 eV per formula unit.

This record from Alexandria via LeMat-Bulk describes an optimized crystal structure of RuO4. The functional is PBEsol.

It has space group C2/c (No. 15), with a = 9.3790 Å, b = 4.4938 Å, c = 8.4445 Å, α = 90.00°, β = 116.01° and γ = 90.00°. The asymmetric unit holds Ru at (0.0000, 0.2502, 0.2500), O at (0.1145, 0.0330, 0.4226) and O at (0.1169, 0.4674, 0.1926).

The calculation puts the energy relative to the elements, uncorrected at -3.08 eV per formula unit.

This record from Alexandria via LeMat-Bulk describes an optimized crystal structure of Tl2CoSe. The functional is PBEsol.

It has space group P4/mmm (No. 123), with a = 3.5619 Å, b = 3.5619 Å, c = 6.4265 Å, α = 90.00°, β = 90.00° and γ = 90.00°. The asymmetric unit holds Tl at (0.0000, 0.0000, 0.2328), Co at (0.5000, 0.5000, 0.0000) and Se at (0.5000, 0.5000, 0.5000).

The calculation puts the energy relative to the elements, uncorrected at 1.81 eV per formula unit.

Table of Fermi-level density of states (states/eV per cell), in record order: 15.46; 5.74; 6.44; 4.43; 4.67; 21.34; 16.25; 5.74; 9.37; 2.75; 0.00; 4.00
Table of size of the total moment (μB/f.u.), in record order: 0.0; 1.3; 0.0; 0.0; 0.0; 3.0; 0.0; 2.6; 6.2; 0.0; 0.0; 1.5